Entry from Alexandria: a relaxed CaBiO2 crystal (GGA-PBE).

## Properties
The volume is 19.66 Å³ per atom. The final energy comes out at -92.71 eV per cell. Its uncorrected formation energy is -1845 meV per atom.

Lattice parameters (Å, degrees): 7.754 6.766 6.524 90.00 113.21 90.00
Space group P2_1/c (No. 14)
Asymmetric unit:
Ca1 0.157 0.156 0.210 [4 per cell]
Bi1 0.343 0.606 0.300 [4 per cell]
O1 0.106 0.032 0.846 [4 per cell]
O2 0.339 0.131 0.584 [4 per cell]